Entry 1:
An optimized crystal structure of Ca2BeGeAu6. Source: Alexandria, functional PBE-GGA.

Results
DFT formation energy   -0.438 eV per atom
Crystal system   orthorhombic

Cell: 5.9834 8.8926 8.0345 Å, 90.00 90.00 90.00°
Element x y z (fractional)
Ca 0.2500 0.0100 0.2315
Ca 0.2500 0.4900 0.2315
Ca 0.7500 0.5100 0.7685
Ca 0.7500 0.9900 0.7685
Be 0.2500 0.2500 0.7326
Be 0.7500 0.7500 0.2674
Ge 0.2500 0.7500 0.7924
Ge 0.7500 0.2500 0.2076
Au 0.0057 0.7500 0.4866
Au 0.0189 0.2500 0.9668
Au 0.2500 0.0005 0.6349
Au 0.2500 0.4995 0.6349
Au 0.4811 0.2500 0.9668
Au 0.4943 0.7500 0.4866
Au 0.5057 0.2500 0.5134
Au 0.5189 0.7500 0.0332
Au 0.7500 0.5005 0.3651
Au 0.7500 0.9995 0.3651
Au 0.9811 0.7500 0.0332
Au 0.9943 0.2500 0.5134

=====

Entry 2:
An optimized crystal structure of SrIr2PdO8. Source: Alexandria, functional PBE-GGA.

Results
Crystal system   monoclinic
ΔE_f (raw)   -890 meV/atom

Cell: 4.9357 4.9357 6.4875 Å, 91.13 91.13 85.67°
Element x y z (fractional)
Sr 0.0000 0.0000 0.0000
Ir 0.4981 0.4981 0.7446
Ir 0.5019 0.5019 0.2554
Pd 0.0000 0.0000 0.5000
O 0.1890 0.7374 0.2722
O 0.2626 0.8110 0.7278
O 0.3261 0.3261 0.5037
O 0.3364 0.3364 0.9813
O 0.6636 0.6636 0.0187
O 0.6739 0.6739 0.4963
O 0.7374 0.1890 0.2722
O 0.8110 0.2626 0.7278

=====

Entry 3:
An optimized crystal structure of Cr2Co2Pd. Source: Alexandria, functional PBE-GGA.

Results
DFT formation energy   0.113 eV per atom
Crystal system   tetragonal
Offset from the most stable computed form   0.000 eV per atom

Cell: 6.8215 6.8215 2.5718 Å, 90.00 90.00 90.00°
Element x y z (fractional)
Cr 0.1681 0.3319 0.0000
Cr 0.3319 0.8319 0.0000
Cr 0.6681 0.1681 0.0000
Cr 0.8319 0.6681 0.0000
Co 0.1264 0.6264 0.5000
Co 0.3736 0.1264 0.5000
Co 0.6264 0.8736 0.5000
Co 0.8736 0.3736 0.5000
Pd 0.0000 0.0000 0.5000
Pd 0.5000 0.5000 0.5000

=====

Entry 4:
An optimized crystal structure of BaTaPb2. Source: Alexandria, functional PBE-GGA.

Results
DFT formation energy   0.640 eV per atom
Crystal system   tetragonal

Cell: 4.6946 4.6946 10.7427 Å, 90.00 90.00 90.00°
Element x y z (fractional)
Ba 0.0000 0.0000 0.0000
Ba 0.5000 0.5000 0.5000
Ta 0.0000 0.5000 0.2500
Ta 0.5000 0.0000 0.7500
Pb 0.0000 0.0000 0.5000
Pb 0.0000 0.5000 0.7500
Pb 0.5000 0.0000 0.2500
Pb 0.5000 0.5000 0.0000

=====

Entry 5:
An optimized crystal structure of BaNaPbAu. Source: Alexandria, functional PBE-GGA.

Results
DFT formation energy   -0.380 eV per atom
Crystal system   cubic

Cell: 7.7175 7.7175 7.7175 Å, 90.00 90.00 90.00°
Element x y z (fractional)
Ba 0.0000 0.0000 0.0000
Ba 0.0000 0.5000 0.5000
Ba 0.5000 0.0000 0.5000
Ba 0.5000 0.5000 0.0000
Na 0.2500 0.2500 0.7500
Na 0.2500 0.7500 0.2500
Na 0.7500 0.2500 0.2500
Na 0.7500 0.7500 0.7500
Pb 0.0000 0.0000 0.5000
Pb 0.0000 0.5000 0.0000
Pb 0.5000 0.0000 0.0000
Pb 0.5000 0.5000 0.5000
Au 0.2500 0.2500 0.2500
Au 0.2500 0.7500 0.7500
Au 0.7500 0.2500 0.7500
Au 0.7500 0.7500 0.2500

=====

Entry 6:
An optimized crystal structure of NaCeGaS4. Source: Alexandria, functional PBE-GGA.

Results
Crystal system   orthorhombic
ΔE_f (raw)   -1171 meV/atom

Cell: 7.7903 7.7903 7.7903 Å, 122.69 116.26 91.00°
Element x y z (fractional)
Na 0.5000 0.0000 0.0000
Na 0.5000 0.5000 0.5000
Ce 0.0000 0.0000 0.0000
Ce 0.5000 0.0000 0.5000
Ga 0.1061 0.3561 0.7500
Ga 0.8939 0.6439 0.2500
S 0.2296 0.2447 0.9849
S 0.2402 0.7553 0.4849
S 0.2412 0.2419 0.5007
S 0.2412 0.7405 0.9993
S 0.7588 0.2595 0.0007
S 0.7588 0.7581 0.4993
S 0.7598 0.2447 0.5151
S 0.7704 0.7553 0.0151

=====

Entry 7:
An optimized crystal structure of Hf2Si2Pd. Source: Alexandria, functional PBE-GGA.

Results
Crystal system   tetragonal
ΔE_f (raw)   -860 meV/atom

Cell: 6.4338 6.4338 4.0261 Å, 90.00 90.00 90.00°
Element x y z (fractional)
Hf 0.1722 0.3278 0.0000
Hf 0.3278 0.8278 0.0000
Hf 0.6722 0.1722 0.0000
Hf 0.8278 0.6722 0.0000
Si 0.1293 0.6293 0.5000
Si 0.3707 0.1293 0.5000
Si 0.6293 0.8707 0.5000
Si 0.8707 0.3707 0.5000
Pd 0.0000 0.0000 0.5000
Pd 0.5000 0.5000 0.5000

=====

Entry 8:
An optimized crystal structure of Ac2Sm4Ho5. Source: Alexandria, functional PBE-GGA.

Results
DFT formation energy   0.134 eV per atom
Crystal system   monoclinic

Cell: 12.3515 12.3515 9.3397 Å, 111.41 111.41 17.02°
Element x y z (fractional)
Ac 0.1118 0.1118 0.4252
Ac 0.8882 0.8882 0.5748
Sm 0.0441 0.0441 0.7160
Sm 0.3158 0.3158 0.1614
Sm 0.6842 0.6842 0.8386
Sm 0.9559 0.9559 0.2840
Ho 0.1314 0.1314 0.0740
Ho 0.2670 0.2670 0.6625
Ho 0.5000 0.5000 0.0000
Ho 0.7330 0.7330 0.3375
Ho 0.8686 0.8686 0.9260

=====

Entry 9:
An optimized crystal structure of Dy3ErFe8. Source: Alexandria, functional PBE-GGA.

Results
DFT formation energy   -0.091 eV per atom
Crystal system   trigonal

Cell: 8.8613 8.8613 8.8613 Å, 33.62 33.62 33.62°
Element x y z (fractional)
Dy 0.0000 0.0000 0.0000
Dy 0.1251 0.1251 0.1251
Dy 0.5002 0.5002 0.5002
Er 0.6250 0.6250 0.6250
Fe 0.0617 0.5625 0.5625
Fe 0.0627 0.0627 0.5633
Fe 0.0627 0.5633 0.0627
Fe 0.3124 0.3124 0.3124
Fe 0.5625 0.0617 0.5625
Fe 0.5633 0.0627 0.0627
Fe 0.5625 0.5625 0.0617
Fe 0.8127 0.8127 0.8127

=====

Entry 10:
An optimized crystal structure of TbHo6Sc6. Source: Alexandria, functional PBE-GGA.

Results
DFT formation energy   0.202 eV per atom
Crystal system   orthorhombic

Cell: 6.2849 6.2849 10.6140 Å, 90.00 90.00 115.86°
Element x y z (fractional)
Tb 0.0000 0.0000 0.0000
Ho 0.0000 0.0000 0.3337
Ho 0.0000 0.0000 0.6663
Ho 0.2830 0.7170 0.5000
Ho 0.3518 0.6482 0.0000
Ho 0.6482 0.3518 0.0000
Ho 0.7170 0.2830 0.5000
Sc 0.0000 0.5000 0.2266
Sc 0.0000 0.5000 0.7734
Sc 0.5000 0.0000 0.2266
Sc 0.5000 0.0000 0.7734
Sc 0.5000 0.5000 0.2881
Sc 0.5000 0.5000 0.7119

=====

| no. | magnetic moment (μB per atom) | raw total energy (eV per atom) |
| --- | --- | --- |
| 1 | 0.00 | -3.639 |
| 2 | 0.00 | -6.245 |
| 3 | 0.00 | -7.617 |
| 4 | 0.10 | -4.658 |
| 5 | 0.00 | -2.937 |
| 6 | 0.02 | -4.998 |
| 7 | 0.00 | -8.049 |
| 8 | 0.00 | -4.410 |
| 9 | 1.13 | -7.264 |
| 10 | 0.00 | -5.189 |